Entry from the Alexandria database: an optimized crystal structure of HoTm2Sc3Bi6 (GGA-PBE).

Calculated values
The value obtained for the formation energy from the elements is -0.728 eV per atom. Its space group is C2/m (12).

Cell: 7.546 7.546 7.539 Å, 99.59 99.59 120.02°
Positions (direct):
Sc  0.834  0.166  0.500
Tm  0.667  0.333  0.000
Bi  0.087  0.422  0.262
Sc  0.500  0.500  0.500
Sc  0.166  0.834  0.500
Bi  0.422  0.087  0.262
Tm  0.333  0.667  0.000
Ho  0.000  0.000  0.000
Bi  0.913  0.578  0.738
Bi  0.578  0.913  0.738
Bi  0.248  0.248  0.738
Bi  0.752  0.752  0.262

***

Entry from the Alexandria database: an optimized crystal structure of PmAl3Cu2 (GGA-PBE).

Calculated values
The energy above the most stable polymorph in this dataset is 0.0401 eV per atom. The value obtained for the formation energy from the elements is -0.371 eV per atom. Its space group is Cmcm (63).

Cell: 5.140 6.498 6.498 Å, 103.25 90.00 90.00°
Positions (direct):
Al  0.750  0.060  0.060
Pm  0.250  0.334  0.334
Al  0.250  0.940  0.940
Cu  0.000  0.792  0.208
Cu  0.000  0.208  0.792
Al  0.250  0.533  0.911
Al  0.750  0.467  0.089
Cu  0.500  0.208  0.792
Al  0.250  0.911  0.533
Cu  0.500  0.792  0.208
Al  0.750  0.089  0.467
Pm  0.750  0.666  0.666

***

Entry from the Alexandria database: an optimized crystal structure of Y6Hg5Au (GGA-PBE).

Calculated values
The value obtained for the formation energy from the elements is -0.565 eV per atom. Its space group is Cmmm (65).

Cell: 5.228 7.439 8.285 Å, 90.00 71.61 90.00°
Positions (direct):
Hg  0.330  0.000  0.341
Y  0.163  0.248  0.673
Y  0.837  0.752  0.327
Hg  0.670  0.000  0.659
Hg  0.000  0.500  0.000
Hg  0.668  0.500  0.664
Y  0.163  0.752  0.673
Y  0.500  0.243  0.000
Au  0.000  0.000  0.000
Y  0.837  0.248  0.327
Hg  0.332  0.500  0.336
Y  0.500  0.757  0.000

***

Entry from the Alexandria database: an optimized crystal structure of TiMn3Nb2 (GGA-PBE).

Calculated values
The value obtained for the formation energy from the elements is -0.178 eV per atom. Its space group is P4/mmm (123).

Cell: 3.045 3.045 9.101 Å, 90.00 90.00 90.00°
Positions (direct):
Ti  0.500  0.500  0.500
Mn  0.000  0.000  0.000
Mn  0.000  0.000  0.336
Mn  0.000  0.000  0.664
Nb  0.500  0.500  0.171
Nb  0.500  0.500  0.829

***

Entry from the Alexandria database: an optimized crystal structure of Tb2NdSm3 (GGA-PBE).

Calculated values
The value obtained for the formation energy from the elements is 0.014 eV per atom. Its space group is C2/c (15).

Cell: 7.225 6.256 9.569 Å, 89.93 112.18 90.00°
Positions (direct):
Sm  0.707  0.416  0.664
Nd  0.126  0.250  0.000
Tb  0.208  0.417  0.666
Tb  0.457  0.917  0.666
Sm  0.042  0.084  0.336
Tb  0.543  0.083  0.334
Sm  0.376  0.750  0.000
Sm  0.958  0.916  0.664
Sm  0.624  0.250  0.000
Tb  0.792  0.583  0.334
Sm  0.293  0.584  0.336
Nd  0.874  0.750  0.000

***

Entry from the Alexandria database: an optimized crystal structure of NdDy5Y4 (GGA-PBE).

Calculated values
The value obtained for the formation energy from the elements is 0.296 eV per atom. Its space group is I4 (79).

Cell: 6.344 7.876 7.876 Å, 80.66 66.25 66.25°
Positions (direct):
Y  0.499  0.610  0.298
Dy  0.720  0.084  0.375
Dy  0.804  0.375  0.916
Y  0.797  0.702  0.610
Nd  0.222  0.000  0.000
Dy  0.095  0.625  0.084
Y  0.109  0.298  0.390
Y  0.407  0.390  0.702
Dy  0.179  0.916  0.625
Dy  0.677  0.000  0.000

***

Entry from the Alexandria database: an optimized crystal structure of VCo4Os (GGA-PBE).

Calculated values
The energy above the most stable polymorph in this dataset is 0.0000 eV per atom. The value obtained for the formation energy from the elements is -0.008 eV per atom. Its space group is P6/mmm (191).

Cell: 4.028 4.028 5.008 Å, 89.99 89.99 120.01°
Positions (direct):
V  0.000  0.500  0.500
Co  0.333  0.167  0.748
Co  0.667  0.833  0.252
Co  0.333  0.167  0.252
Co  0.667  0.833  0.748
Os  0.000  0.500  0.000

***

Entry from the Alexandria database: an optimized crystal structure of CrTc2Ru (GGA-PBE).

Calculated values
The energy above the most stable polymorph in this dataset is 0.0200 eV per atom. The value obtained for the formation energy from the elements is 0.126 eV per atom. Its space group is C2/m (12).

Cell: 4.667 4.667 4.647 Å, 79.99 79.99 33.81°
Positions (direct):
Ru  0.250  0.250  0.250
Tc  0.500  0.500  0.502
Cr  0.750  0.750  0.750
Tc  0.000  0.000  0.998

***

Entry from the Alexandria database: an optimized crystal structure of BaPrSm4O8 (GGA-PBE).

Calculated values
The calculation puts the energy relative to the elements, uncorrected at -3.11 eV per atom. Its space group is R3m (160).

Cell: 7.155 7.155 7.188 Å, 60.15 60.15 60.00°
Positions (direct):
Ba  0.375  0.375  0.875
O  0.234  0.234  0.724
O  0.809  0.234  0.724
O  0.753  0.231  0.262
Sm  0.002  0.002  0.502
O  0.757  0.757  0.729
Pr  0.001  0.001  0.996
O  0.231  0.753  0.262
Sm  0.002  0.494  0.502
Sm  0.494  0.002  0.502
O  0.753  0.753  0.262
O  0.234  0.809  0.724
Sm  0.625  0.625  0.126
O  0.230  0.230  0.310

***

Entry from the Alexandria database: an optimized crystal structure of CsNaMg (GGA-PBE).

Calculated values
The energy above the most stable polymorph in this dataset is 0.0677 eV per atom. The value obtained for the formation energy from the elements is 0.180 eV per atom. Its space group is Cm (8).

Cell: 6.587 6.587 7.706 Å, 76.24 76.24 86.42°
Positions (direct):
Na  0.322  0.322  0.331
Mg  0.856  0.195  0.262
Mg  0.195  0.856  0.262
Cs  0.136  0.647  0.811
Na  0.693  0.693  0.333
Cs  0.647  0.136  0.811

***

Entry from the Alexandria database: an optimized crystal structure of Be2BAsF (GGA-PBE).

Calculated values
The calculation puts the energy relative to the elements, uncorrected at 0.48 eV per atom. Its space group is P4/mmm (123).

Cell: 3.300 5.386 3.300 Å, 90.00 90.00 90.00°
Positions (direct):
F  0.000  0.000  0.000
Be  0.500  0.000  0.000
Be  0.000  0.000  0.500
As  0.500  0.500  0.500
B  0.000  0.500  0.000

***

Entry from the Alexandria database: an optimized crystal structure of PrNd4Cu (GGA-PBE).

Calculated values
The value obtained for the formation energy from the elements is -0.028 eV per atom. Its space group is P4/mmm (123).

Cell: 3.663 3.663 14.065 Å, 90.00 90.00 90.00°
Positions (direct):
Nd  0.000  0.000  0.377
Nd  0.000  0.000  0.623
Cu  0.500  0.500  0.500
Pr  0.000  0.000  0.000
Nd  0.500  0.500  0.813
Nd  0.500  0.500  0.187

***

Entry from the Alexandria database: an optimized crystal structure of Ac3Pm2Y2 (GGA-PBE).

Calculated values
The value obtained for the formation energy from the elements is 0.058 eV per atom. Its space group is Cmmm (65).

Cell: 5.667 3.735 12.941 Å, 90.00 77.35 90.00°
Positions (direct):
Ac  0.153  0.000  0.694
Y  0.715  0.500  0.571
Ac  0.847  0.000  0.306
Pm  0.427  0.500  0.146
Ac  0.000  0.000  0.000
Y  0.285  0.500  0.429
Pm  0.573  0.500  0.854

***

Entry from the Alexandria database: an optimized crystal structure of Ce5ThSn6 (GGA-PBE).

Calculated values
The value obtained for the formation energy from the elements is -0.575 eV per atom. Its space group is Immm (71).

Cell: 4.960 9.021 9.033 Å, 119.96 105.93 90.00°
Positions (direct):
Sn  0.500  0.749  0.000
Ce  0.667  0.167  0.333
Ce  0.000  0.500  0.000
Ce  0.333  0.833  0.667
Sn  0.833  0.582  0.665
Sn  0.833  0.083  0.665
Ce  0.334  0.334  0.668
Sn  0.167  0.418  0.335
Sn  0.500  0.251  0.000
Sn  0.167  0.917  0.335
Th  0.000  0.000  0.000
Ce  0.666  0.666  0.332

***

Entry from the Alexandria database: an optimized crystal structure of MgIrW (GGA-PBE).

Calculated values
The energy above the most stable polymorph in this dataset is 0.7293 eV per atom. The value obtained for the formation energy from the elements is 0.542 eV per atom. Its space group is F-43m (216).

Cell: 4.279 4.279 4.279 Å, 60.00 60.00 60.00°
Positions (direct):
Ir  0.000  0.000  0.000
Mg  0.500  0.500  0.500
W  0.750  0.750  0.750

***

Entry from the Alexandria database: an optimized crystal structure of CuTcAs2Se (GGA-PBE).

Calculated values
The energy above the most stable polymorph in this dataset is 0.0000 eV per atom. The calculation puts the energy relative to the elements, uncorrected at 0.71 eV per atom. Its space group is P4/mmm (123).

Cell: 4.707 4.707 5.159 Å, 90.00 90.00 90.00°
Positions (direct):
Cu  0.500  0.500  0.500
Tc  0.000  0.000  0.000
Se  0.000  0.000  0.500
As  0.000  0.500  0.000
As  0.500  0.000  0.000

***

Entry from the Alexandria database: an optimized crystal structure of NiAs2Pb (GGA-PBE).

Calculated values
The value obtained for the formation energy from the elements is 0.055 eV per atom. Its space group is Imm2 (44).

Cell: 7.060 7.060 7.060 Å, 151.12 150.23 41.95°
Positions (direct):
Ni  0.527  0.527  0.000
As  0.652  0.152  0.500
As  0.003  0.003  0.000
Pb  0.317  0.817  0.500

***

Entry from the Alexandria database: an optimized crystal structure of LaNdSm5Ho2 (GGA-PBE).

Calculated values
The value obtained for the formation energy from the elements is 0.152 eV per atom. Its space group is Cmc2_1 (36).

Cell: 5.701 10.482 10.736 Å, 90.00 90.00 105.78°
Positions (direct):
Sm  0.282  0.563  0.311
Nd  0.202  0.404  0.011
Sm  0.017  0.034  0.027
La  0.582  0.164  0.949
Sm  0.390  0.779  0.026
Sm  0.610  0.221  0.526
Sm  0.983  0.966  0.527
Sm  0.522  0.044  0.238
Sm  0.296  0.593  0.706
Ho  0.111  0.223  0.734
La  0.418  0.836  0.449
Sm  0.478  0.956  0.738
Sm  0.718  0.437  0.811
Ho  0.889  0.777  0.234
Sm  0.704  0.407  0.206
Ho  0.115  0.231  0.322
Nd  0.798  0.596  0.511
Ho  0.885  0.769  0.822

***

Entry from the Alexandria database: an optimized crystal structure of Ca3H5F (GGA-PBE).

Calculated values
The electronic total energy is -3.81 eV/atom. Its space group is Cmcm (63).

Cell: 3.663 6.566 9.935 Å, 90.00 90.00 106.20°
Positions (direct):
F  0.119  0.238  0.250
H  0.457  0.914  0.366
Ca  0.624  0.248  0.442
H  0.194  0.389  0.926
H  0.806  0.611  0.426
Ca  0.624  0.248  0.058
Ca  0.071  0.142  0.750
H  0.543  0.086  0.634
H  0.806  0.611  0.074
Ca  0.376  0.752  0.558
H  0.000  0.000  0.000
H  0.543  0.086  0.866
H  0.194  0.389  0.574
Ca  0.376  0.752  0.942
H  0.457  0.914  0.134
Ca  0.929  0.858  0.250
F  0.881  0.762  0.750
H  0.000  0.000  0.500

***

Entry from the Alexandria database: an optimized crystal structure of CuBO2 (GGA-PBE).

Calculated values
The calculation puts the energy relative to the elements, uncorrected at -1.43 eV per atom. Its space group is I-42d (122).

Cell: 4.361 4.361 4.636 Å, 61.95 61.95 90.00°
Positions (direct):
B  0.250  0.750  0.500
O  0.245  0.625  0.250
O  0.875  0.755  0.750
O  0.505  0.125  0.250
Cu  0.000  0.000  0.000
B  0.500  0.500  0.000
Cu  0.750  0.250  0.500
O  0.375  0.495  0.750

***

Entry from the Alexandria database: an optimized crystal structure of SrYB (GGA-PBE).

Calculated values
The energy above the most stable polymorph in this dataset is 0.0106 eV per atom. The value obtained for the formation energy from the elements is -0.005 eV per atom. Its space group is P2_1/m (11).

Cell: 7.304 6.988 3.333 Å, 90.02 89.98 99.60°
Positions (direct):
Y  0.322  0.921  0.675
Sr  0.529  0.427  0.676
B  0.156  0.220  0.676
B  0.212  0.174  0.176
Y  0.046  0.473  0.176
Sr  0.839  0.967  0.174

***

Entry from the Alexandria database: an optimized crystal structure of Hf2SbRu (GGA-PBE).

Calculated values
The calculation puts the energy relative to the elements, uncorrected at 0.48 eV per atom. Its space group is I-42d (122).

Cell: 5.995 5.995 7.818 Å, 67.45 67.45 90.00°
Positions (direct):
Sb  0.000  0.000  0.000
Hf  0.180  0.625  0.250
Ru  0.250  0.750  0.500
Hf  0.570  0.125  0.250
Ru  0.500  0.500  0.000
Sb  0.750  0.250  0.500
Hf  0.875  0.820  0.750
Hf  0.375  0.430  0.750

***

Entry from the Alexandria database: an optimized crystal structure of TiFe2B4 (GGA-PBE).

Calculated values
The energy above the most stable polymorph in this dataset is 1.7119 eV per atom. The value obtained for the formation energy from the elements is 1.088 eV per atom. Its space group is I4/mmm (139).

Cell: 3.922 3.922 6.004 Å, 70.94 70.94 90.00°
Positions (direct):
Ti  0.000  0.000  0.000
B  0.000  0.500  0.000
Fe  0.610  0.610  0.781
B  0.207  0.207  0.586
B  0.793  0.793  0.414
B  0.500  0.000  0.000
Fe  0.390  0.390  0.219

***

Entry from the Alexandria database: an optimized crystal structure of HoTmPu2Bi4 (GGA-PBE).

Calculated values
The value obtained for the formation energy from the elements is -0.567 eV per atom. Its space group is P2/m (10).

Cell: 4.493 7.789 7.783 Å, 109.47 90.00 90.00°
Positions (direct):
Bi  0.000  0.253  0.755
Ho  0.000  0.000  0.000
Tm  0.500  0.500  0.000
Pu  0.500  0.000  0.500
Bi  0.500  0.250  0.246
Bi  0.000  0.747  0.245
Bi  0.500  0.750  0.754
Pu  0.000  0.500  0.500